Record 1
! Ba5Na2Sr12 | Alexandria | PBE | optimized geometry; values from VASP
! density of states at the Fermi level	1.15	states/eV per atom
! energy of formation from the pure elements	76	meV per atom
! final energy	-1.631	eV/atom
&SYSTEM
  ibrav = 0, nat = 19, ntyp = 3
/
ATOMIC_SPECIES
Ba 137.33 Ba.upf
Na 22.99 Na.upf
Sr 87.62 Sr.upf
CELL_PARAMETERS angstrom
13.0995 -4.0913 0.0000
13.0995 4.0913 0.0000
-3.5091 0.0000 10.0155
ATOMIC_POSITIONS crystal
Ba 0.0000 0.0000 0.0000
Ba 0.2375 0.2375 0.5455
Ba 0.3383 0.3383 0.3025
Ba 0.6617 0.6617 0.6975
Ba 0.7625 0.7625 0.4545
Na 0.3006 0.6994 0.5000
Na 0.6994 0.3006 0.5000
Sr 0.0557 0.5615 0.9130
Sr 0.1042 0.1042 0.7258
Sr 0.1564 0.6471 0.6775
Sr 0.3529 0.8436 0.3225
Sr 0.4385 0.9443 0.0870
Sr 0.4505 0.4505 0.1083
Sr 0.5495 0.5495 0.8917
Sr 0.5615 0.0557 0.9130
Sr 0.6471 0.1564 0.6775
Sr 0.8436 0.3529 0.3225
Sr 0.8958 0.8958 0.2742
Sr 0.9443 0.4385 0.0870

Record 2
! Cs2NpBr4F2 | Alexandria | PBE | optimized geometry; values from VASP
! density of states at the Fermi level	1.08	states/eV per atom
! final energy	-4.929	eV/atom
! formation energy (no corrections)	-1860.2	kJ/mol of formula units
&SYSTEM
  ibrav = 0, nat = 9, ntyp = 4
/
ATOMIC_SPECIES
Cs 132.91 Cs.upf
Np 237.00 Np.upf
Br 79.90 Br.upf
F 19.00 F.upf
CELL_PARAMETERS angstrom
6.3398 -4.1241 0.0000
6.3398 4.1241 0.0000
-1.2389 0.0000 6.1238
ATOMIC_POSITIONS crystal
Cs 0.1691 0.1691 0.3253
Cs 0.8309 0.8309 0.6747
Np 0.5000 0.5000 0.0000
Br 0.1513 0.6495 0.1999
Br 0.3505 0.8487 0.8001
Br 0.6495 0.1513 0.1999
Br 0.8487 0.3505 0.8001
F 0.3689 0.3689 0.7408
F 0.6311 0.6311 0.2592

Record 3
! In2SiRh | Alexandria | PBE | optimized geometry; values from VASP
! density of states at the Fermi level	0.29	states/eV per atom
! final energy	-4.428	eV/atom
! formation energy (no corrections)	52.1	kJ/mol of formula units
&SYSTEM
  ibrav = 0, nat = 8, ntyp = 3
/
ATOMIC_SPECIES
In 114.82 In.upf
Si 28.09 Si.upf
Rh 102.91 Rh.upf
CELL_PARAMETERS angstrom
4.2342 0.0000 0.0000
0.0000 4.2626 0.0000
0.0000 0.0000 8.1221
ATOMIC_POSITIONS crystal
In 0.0000 0.0000 0.2501
In 0.0000 0.0000 0.7499
In 0.5000 0.5000 0.2499
In 0.5000 0.5000 0.7501
Si 0.0000 0.5000 0.0000
Si 0.5000 0.0000 0.5000
Rh 0.0000 0.5000 0.5000
Rh 0.5000 0.0000 0.0000

Record 4
! LiTa2SbO8 | Alexandria | PBE | optimized geometry; values from VASP
! density of states at the Fermi level	0.00	states/eV per atom
! final energy	-8.117	eV/atom
! formation energy (no corrections)	-2701.8	kJ/mol of formula units
&SYSTEM
  ibrav = 0, nat = 12, ntyp = 4
/
ATOMIC_SPECIES
Li 6.94 Li.upf
Ta 180.95 Ta.upf
Sb 121.76 Sb.upf
O 16.00 O.upf
CELL_PARAMETERS angstrom
3.3030 -3.4048 0.0000
3.3030 3.4048 0.0000
0.0000 0.0000 6.2512
ATOMIC_POSITIONS crystal
Li 0.0000 0.0000 0.0000
Ta 0.5000 0.5000 0.2394
Ta 0.5000 0.5000 0.7606
Sb 0.0000 0.0000 0.5000
O 0.2037 0.2037 0.2677
O 0.2037 0.2037 0.7323
O 0.3030 0.6970 0.5000
O 0.3139 0.6861 0.0000
O 0.6861 0.3139 0.0000
O 0.6970 0.3030 0.5000
O 0.7963 0.7963 0.2677
O 0.7963 0.7963 0.7323

Record 5
! AgPd7Pb2 | Alexandria | PBE | optimized geometry; values from VASP
! density of states at the Fermi level	0.94	states/eV per atom
! energy of formation from the pure elements	181	meV per atom
! final energy	-4.481	eV/atom
&SYSTEM
  ibrav = 0, nat = 10, ntyp = 3
/
ATOMIC_SPECIES
Ag 107.87 Ag.upf
Pd 106.42 Pd.upf
Pb 207.20 Pb.upf
CELL_PARAMETERS angstrom
3.7042 -7.4415 0.0000
3.7042 7.4415 0.0000
0.0000 0.0000 3.8973
ATOMIC_POSITIONS crystal
Ag 0.0000 0.0000 0.0000
Pd 0.0918 0.2843 0.5000
Pd 0.1853 0.8147 0.0000
Pd 0.2843 0.0918 0.5000
Pd 0.5000 0.5000 0.5000
Pd 0.7157 0.9082 0.5000
Pd 0.8147 0.1853 0.0000
Pd 0.9082 0.7157 0.5000
Pb 0.3104 0.6896 0.5000
Pb 0.6896 0.3104 0.5000

Record 6
! ScAgOs2 | Alexandria | PBE | optimized geometry; values from VASP
! density of states at the Fermi level	1.12	states/eV per atom
! energy relative to the lowest polymorph listed for this composition	181	meV/atom
! energy of formation from the pure elements	254	meV per atom
! final energy	-7.656	eV/atom
&SYSTEM
  ibrav = 0, nat = 4, ntyp = 3
/
ATOMIC_SPECIES
Sc 44.96 Sc.upf
Ag 107.87 Ag.upf
Os 190.23 Os.upf
CELL_PARAMETERS angstrom
3.0694 0.0000 0.0000
0.0000 4.5810 0.0000
0.0000 0.0000 4.5980
ATOMIC_POSITIONS crystal
Sc 0.0000 0.0000 0.0000
Ag 0.5000 0.0000 0.5000
Os 0.0000 0.5000 0.5000
Os 0.5000 0.5000 0.0000